{
  "formula": "Cs2USn3O12",
  "functional": "GGA-PBE",
  "state": "optimized geometry",
  "magmom_total_mub_per_atom": 0.21,
  "space_group": "R-3m, No. 166",
  "formation_energy_uncorrected_ev_per_atom": -1.60,
  "lattice": [[7.822, 0.173, 0.123], [4.014, 6.716, 0.123], [4.014, 2.336, 6.297]],
  "species": ["O", "O", "O", "O", "O", "O", "O", "O", "O", "O", "O", "O", "Cs", "Cs", "Sn", "Sn", "Sn", "U"],
  "frac_coords": [[0.314, 0.936, 0.936], [0.325, 0.926, 0.325], [0.936, 0.936, 0.314], [0.675, 0.074, 0.675], [0.064, 0.686, 0.064], [0.074, 0.675, 0.675], [0.686, 0.064, 0.064], [0.926, 0.325, 0.325], [0.675, 0.675, 0.074], [0.064, 0.064, 0.686], [0.325, 0.325, 0.926], [0.936, 0.314, 0.936], [0.377, 0.377, 0.377], [0.623, 0.623, 0.623], [0.000, 0.000, 0.500], [0.500, 0.000, 0.000], [0.000, 0.500, 0.000], [0.000, 0.000, 0.000]]
}